(1)
La2Ag2Bi: optimized geometry, PBE-GGA.

abc: 5.9544 5.9544 6.0420
angles: 60.48 60.48 90.00
Closest atoms and distances in Å follow each position.
Positions (direct):
Bi 0.0000 0.0000 0.0000  2 Ag 3.05
Ag 0.3514 0.3514 0.2973  1 Ag 2.58
Ag 0.6486 0.6486 0.7027  1 Ag 2.58
La 0.7500 0.2500 0.5000  4 Ag 3.10
La 0.2500 0.7500 0.5000  4 Ag 3.10

Results
Space group: I4/mmm
Energy above the most stable polymorph in this dataset: 0.256 eV/atom
Energy of formation from the pure elements: -0.22 eV per atom
V: 30.7 Å³/atom
Energy: -4.11 eV/atom

=====

(2)
LaAg2Bi: optimized geometry, PBE-GGA.

abc: 3.3328 3.3328 11.4432
angles: 81.63 81.63 60.00
Closest atoms and distances in Å follow each position.
Positions (direct):
Bi 0.5000 0.5000 0.5000  6 Ag 3.20, 6 Bi 3.33
Ag 0.0910 0.0910 0.7270  1 La 3.08, 3 Bi 3.20, 6 Ag 3.33
Ag 0.9090 0.9090 0.2730  1 La 3.08, 3 Bi 3.20, 6 Ag 3.33
La 0.0000 0.0000 0.0000  2 Ag 3.08, 6 La 3.33

Results
Space group: R-3m
Energy of formation from the pure elements: 0.30 eV per atom
V: 27.1 Å³/atom
Energy: -3.33 eV/atom

=====

(3)
LaAgBi3: optimized geometry, PBE-GGA.

abc: 5.5238 5.5238 5.5238
angles: 90.00 90.00 90.00
Closest atoms and distances in Å follow each position.
Positions (direct):
Bi 0.0000 0.5000 0.0000  2 Ag 2.76
Bi 0.0000 0.0000 0.5000  2 Ag 2.76
Bi 0.5000 0.0000 0.0000  2 Ag 2.76
Ag 0.0000 0.0000 0.0000  6 Bi 2.76
La 0.5000 0.5000 0.5000  12 Bi 3.91

Results
Space group: Pm-3m
Energy above the most stable polymorph in this dataset: 0.000 eV/atom
Energy of formation from the pure elements: -0.01 eV per atom
V: 33.7 Å³/atom
Energy: -3.89 eV/atom

=====

(4)
La3Ag3Bi4: optimized geometry, PBE-GGA.

abc: 9.0538 9.0538 9.0538
angles: 109.47 109.47 109.47
Closest atoms and distances in Å follow each position.
Positions (direct):
La 0.6250 0.7500 0.8750  4 Ag 3.20, 4 Bi 3.58
La 0.8750 0.2500 0.6250  4 Ag 3.20, 4 Bi 3.58
La 0.1250 0.3750 0.2500  4 Ag 3.20, 4 Bi 3.58
La 0.3750 0.1250 0.7500  4 Ag 3.20, 4 Bi 3.58
La 0.2500 0.8750 0.1250  4 Ag 3.20, 4 Bi 3.58
La 0.7500 0.6250 0.3750  4 Ag 3.20, 4 Bi 3.58
Ag 0.1250 0.7500 0.3750  4 Bi 2.94, 4 La 3.20
Ag 0.3750 0.2500 0.1250  4 Bi 2.94, 4 La 3.20
Ag 0.6250 0.8750 0.2500  4 Bi 2.94, 4 La 3.20
Ag 0.8750 0.6250 0.7500  4 Bi 2.94, 4 La 3.20
Ag 0.2500 0.3750 0.6250  4 Bi 2.94, 4 La 3.20
Ag 0.7500 0.1250 0.8750  4 Bi 2.94, 4 La 3.20
Bi 0.0000 0.0000 0.3268  3 Ag 2.94
Bi 0.5000 0.3268 0.5000  3 Ag 2.94
Bi 0.6732 0.1732 0.1732  3 Ag 2.94
Bi 0.0000 0.0000 0.8268  3 Ag 2.94
Bi 0.8268 0.5000 0.0000  3 Ag 2.94
Bi 0.5000 0.8268 0.5000  3 Ag 2.94
Bi 0.3268 0.5000 0.0000  3 Ag 2.94
Bi 0.1732 0.6732 0.6732  3 Ag 2.94

Results
Space group: I-43d
Energy of formation from the pure elements: -0.64 eV per atom
V: 28.6 Å³/atom
Energy: -4.53 eV/atom

=====

(5)
La2Ag2Bi: optimized geometry, PBE-GGA.

abc: 8.0671 8.0671 4.3601
angles: 90.00 90.00 90.00
Closest atoms and distances in Å follow each position.
Positions (direct):
Bi 0.0000 0.0000 0.0000  4 Ag 3.20
Bi 0.5000 0.5000 0.0000  4 Ag 3.20
Ag 0.3781 0.8781 0.0000  1 Ag 2.78
Ag 0.8781 0.6219 0.0000  1 Ag 2.78
Ag 0.6219 0.1219 0.0000  1 Ag 2.78
Ag 0.1219 0.3781 0.0000  1 Ag 2.78
La 0.1751 0.6751 0.5000  6 Ag 3.18-3.27
La 0.6751 0.8249 0.5000  6 Ag 3.18-3.27
La 0.8249 0.3249 0.5000  6 Ag 3.18-3.27
La 0.3249 0.1751 0.5000  6 Ag 3.18-3.27

Results
Space group: P4/mbm
Energy above the most stable polymorph in this dataset: 0.000 eV/atom
Energy of formation from the pure elements: -0.47 eV per atom
V: 28.4 Å³/atom
Energy: -4.36 eV/atom

=====

(6)
La2AgBi: optimized geometry, PBE-GGA.

abc: 4.1853 5.3868 5.3868
angles: 90.00 90.00 90.00
Closest atoms and distances in Å follow each position.
Positions (direct):
Bi 0.5000 0.0000 0.0000  8 La 3.41, 4 Ag 3.81
Ag 0.5000 0.5000 0.5000  8 La 3.41, 4 Bi 3.81
La 0.0000 0.0000 0.5000  4 Bi 3.41, 4 Ag 3.41, 4 La 3.81
La 0.0000 0.5000 0.0000  4 Bi 3.41, 4 Ag 3.41, 4 La 3.81

Results
Space group: P4/mmm
Energy of formation from the pure elements: -0.58 eV per atom
V: 30.4 Å³/atom
Energy: -4.73 eV/atom

=====

> Look up the energy of the third one.

-3.89 eV/atom

=====

> Look up the V of the fourth one.

28.6 Å³/atom

=====

Please write out number 2 again, unchanged.
LaAg2Bi: optimized geometry, PBE-GGA.

abc: 3.3328 3.3328 11.4432
angles: 81.63 81.63 60.00
Closest atoms and distances in Å follow each position.
Positions (direct):
Bi 0.5000 0.5000 0.5000  6 Ag 3.20, 6 Bi 3.33
Ag 0.0910 0.0910 0.7270  1 La 3.08, 3 Bi 3.20, 6 Ag 3.33
Ag 0.9090 0.9090 0.2730  1 La 3.08, 3 Bi 3.20, 6 Ag 3.33
La 0.0000 0.0000 0.0000  2 Ag 3.08, 6 La 3.33

Results
Space group: R-3m
Energy of formation from the pure elements: 0.30 eV per atom
V: 27.1 Å³/atom
Energy: -3.33 eV/atom

=====

Repeat the sixth record exactly.
La2AgBi: optimized geometry, PBE-GGA.

abc: 4.1853 5.3868 5.3868
angles: 90.00 90.00 90.00
Closest atoms and distances in Å follow each position.
Positions (direct):
Bi 0.5000 0.0000 0.0000  8 La 3.41, 4 Ag 3.81
Ag 0.5000 0.5000 0.5000  8 La 3.41, 4 Bi 3.81
La 0.0000 0.0000 0.5000  4 Bi 3.41, 4 Ag 3.41, 4 La 3.81
La 0.0000 0.5000 0.0000  4 Bi 3.41, 4 Ag 3.41, 4 La 3.81

Results
Space group: P4/mmm
Energy of formation from the pure elements: -0.58 eV per atom
V: 30.4 Å³/atom
Energy: -4.73 eV/atom